Computed, not measured: a relaxed structure of Sm2TmPu3Te6 at the PBE level of DFT.

a = 4.071 Å, b = 11.083 Å, c = 16.098 Å
α = 148.96°, β = 97.26°, γ = 90.00°
Each line ends with the local moment (μB).
Element x y z (fractional)
Te: 0.003 0.793 0.007  -0.04
Tm: 0.500 0.000 0.000  0.19
Te: 0.997 0.207 0.993  -0.04
Pu: 0.500 0.500 0.000  5.88
Te: 0.685 0.461 0.370  -0.06
Te: 0.847 0.125 0.693  -0.05
Sm: 0.652 0.651 0.303  0.23
Sm: 0.348 0.349 0.697  0.23
Pu: 0.334 0.867 0.667  5.61
Te: 0.315 0.539 0.630  -0.06
Te: 0.153 0.875 0.307  -0.05
Pu: 0.666 0.133 0.333  5.61

Computed properties:
**E_form (uncorrected)**: -1.0697 eV/atom
**Crystal system**: monoclinic

***

Computed, not measured: a relaxed structure of ZrB at the PBE level of DFT.

a = 3.294 Å, b = 3.311 Å, c = 5.913 Å
α = 73.81°, β = 75.96°, γ = 89.96°
Element x y z (fractional)
B: 0.642 0.306 0.227
Zr: 0.966 0.663 0.507
B: 0.777 0.458 0.921
Zr: 0.253 0.927 0.983

Computed properties:
**Energy relative to the elements**: -0.19 eV per atom
**Crystal system**: triclinic

***

Computed, not measured: a relaxed structure of LiCo at the PBE level of DFT.

a = 2.693 Å, b = 2.693 Å, c = 7.438 Å
α = 90.00°, β = 90.00°, γ = 90.00°
Each line ends with the local moment (μB).
Element x y z (fractional)
Li: 0.250 0.250 0.162  -0.04
Co: 0.250 0.250 0.590  1.53
Co: 0.750 0.750 0.410  1.53
Li: 0.750 0.750 0.838  -0.04

Computed properties:
**Energy relative to the elements**: 0.15 eV per atom
**Crystal system**: tetragonal

***

Magnetization for every record listed, in sequence, given in Bohr magnetons per cell: 19.52 0.00 2.82.